No. 1
Material: AcHRh
Method: DFT, PBE-GGA
State: relaxed

```
AcHRh
1.0
-0.4906 -0.5507 3.8376
-3.8102 -1.2683 -0.6691
3.0654 -2.6790 0.0075
H Ac Rh
1 1 1
Cartesian
0.6916 -2.3008 0.4229
-1.8453 -2.1056 2.1139
-0.0817 -0.0917 0.6392
```

Symmetry: No. 187
Polymorph energy (0 for the lowest one) (eV per atom): 0.336

No. 2
Material: AcHRh3
Method: DFT, PBE-GGA
State: relaxed

```
AcHRh3
1.0
-2.7181 -3.2490 -0.2943
1.4052 -0.8203 -3.9222
2.9442 -2.6081 1.6002
H Ac Rh
1 1 3
Cartesian
0.0000 0.0000 0.0000
0.8156 -3.3387 -1.3081
0.7026 -0.4102 -1.9611
1.4721 -1.3040 0.8001
-1.3591 -1.6245 -0.1471
```

Symmetry: No. 221
Electronic total energy (eV per cell): -30.88